Entry 1:
The following is a PBE calculation of crystalline Tc2AgSe at its relaxed geometry, from Alexandria via LeMat-Bulk.

As for the formation energy without anion corrections: 44.2 kJ/mol of atoms.

The structure belongs to space group P4/mmm (No. 123); the cell edges are 3.0542, 3.0542 and 6.6864 Å and the angles 90.00°, 90.00° and 90.00°. The distinct sites, in fractional coordinates, are Tc at (0.0000, 0.0000, 0.2134), Ag at (0.5000, 0.5000, 0.5000) and Se at (0.5000, 0.5000, 0.0000).

***

Entry 2:
The following is a PBE calculation of crystalline TcAgSe2 at its relaxed geometry, from Alexandria via LeMat-Bulk.

As for the formation energy without anion corrections: -5.4 kJ/mol of atoms. Its excess energy over the best structure of this formula in the dataset is 132 meV per atom.

The structure belongs to space group R-3m (No. 166, hexagonal axes); the cell edges are 3.5917, 3.5917 and 24.1480 Å and the angles 90.00°, 90.00° and 120.00°. The distinct sites, in fractional coordinates, are Tc at (0.0000, 0.0000, 0.0000), Ag at (0.0000, 0.0000, 0.5000) and Se at (0.0000, 0.0000, 0.3947).

***

Entry 3:
The following is a PBE calculation of crystalline TcAgSe2 at its relaxed geometry, from Alexandria via LeMat-Bulk.

As for the formation energy without anion corrections: 19.9 kJ/mol of atoms. Its excess energy over the best structure of this formula in the dataset is 394 meV per atom.

The structure belongs to space group Cmcm (No. 63); the cell edges are 2.8779, 22.5654 and 4.7777 Å and the angles 90.00°, 90.00° and 90.00°. The distinct sites, in fractional coordinates, are Tc at (0.0000, 0.0417, 0.2500), Ag at (0.0000, 0.2929, 0.2500), Se at (0.0000, 0.0657, 0.7500) and Se at (0.0000, 0.1647, 0.2500).

***

Entry 4:
The following is a PBE calculation of crystalline TcAgSe2 at its relaxed geometry, from Alexandria via LeMat-Bulk.

As for the formation energy without anion corrections: 32.4 kJ/mol of atoms. Its excess energy over the best structure of this formula in the dataset is 523 meV per atom.

The structure belongs to space group Cmmm (No. 65); the cell edges are 3.0401, 4.9913 and 10.4827 Å and the angles 90.00°, 90.00° and 90.00°. The distinct sites, in fractional coordinates, are Tc at (0.0000, 0.0000, 0.0000), Ag at (0.0000, 0.0000, 0.5000) and Se at (0.0000, 0.5000, 0.1960).

***

Entry 5:
The following is a PBE calculation of crystalline TcAgSe2 at its relaxed geometry, from Alexandria via LeMat-Bulk.

As for the formation energy without anion corrections: 51.1 kJ/mol of atoms. Its excess energy over the best structure of this formula in the dataset is 717 meV per atom.

The structure belongs to space group I-4m2 (No. 119); the cell edges are 3.8531, 3.8531 and 10.0690 Å and the angles 90.00°, 90.00° and 90.00°. The distinct sites, in fractional coordinates, are Tc at (0.0000, 0.0000, 0.0000), Ag at (0.0000, 0.5000, 0.7500), Se at (0.0000, 0.0000, 0.5000) and Se at (0.0000, 0.5000, 0.2500).

***

Entry 6:
The following is a PBE calculation of crystalline TcAgSe2 at its relaxed geometry, from Alexandria via LeMat-Bulk.

As for the formation energy without anion corrections: 11.2 kJ/mol of atoms. Its excess energy over the best structure of this formula in the dataset is 303 meV per atom.

The structure belongs to space group Immm (No. 71); the cell edges are 3.0355, 4.9014 and 11.7076 Å and the angles 90.00°, 90.00° and 90.00°. The distinct sites, in fractional coordinates, are Tc at (0.0000, 0.0000, 0.0000), Ag at (0.0000, 0.0000, 0.5000) and Se at (0.0000, 0.5000, 0.3337).

***

Entry 7:
The following is a PBE calculation of crystalline TcAgSe2 at its relaxed geometry, from Alexandria via LeMat-Bulk.

As for the formation energy without anion corrections: -18.1 kJ/mol of atoms. Its excess energy over the best structure of this formula in the dataset is 0 meV per atom.

The structure belongs to space group P-1 (No. 2); the cell edges are 4.6375, 5.3729 and 7.6625 Å and the angles 87.87°, 72.39° and 82.60°. The distinct sites, in fractional coordinates, are Tc at (0.1830, 0.1212, 0.0000), Ag at (0.3052, 0.5017, 0.3893), Se at (0.1028, 0.4995, 0.7939) and Se at (0.3685, 0.0008, 0.2626).

***

Entry 8:
The following is a PBE calculation of crystalline TcAgSe2 at its relaxed geometry, from Alexandria via LeMat-Bulk.

As for the formation energy without anion corrections: 22.4 kJ/mol of atoms. Its excess energy over the best structure of this formula in the dataset is 419 meV per atom.

The structure belongs to space group P2/m (No. 10); the cell edges are 2.9518, 3.2297 and 8.1618 Å and the angles 90.00°, 90.26° and 90.00°. The distinct sites, in fractional coordinates, are Tc at (0.0000, 0.0000, 0.0000), Ag at (0.5000, 0.0000, 0.5000) and Se at (0.0026, 0.5000, 0.2302).

***

Entry 9:
The following is a PBE calculation of crystalline Tc2AgSe at its relaxed geometry, from Alexandria via LeMat-Bulk.

As for the formation energy without anion corrections: 67.9 kJ/mol of atoms.

The structure belongs to space group Cmmm (No. 65); the cell edges are 2.9738, 4.8832 and 8.9756 Å and the angles 90.00°, 90.00° and 90.00°. The distinct sites, in fractional coordinates, are Tc at (0.0000, 0.0000, 0.2259), Ag at (0.0000, 0.5000, 0.5000) and Se at (0.0000, 0.5000, 0.0000).

***

Entry 10:
The following is a PBE calculation of crystalline TcAg2Se at its relaxed geometry, from Alexandria via LeMat-Bulk.

As for the formation energy without anion corrections: 53.0 kJ/mol of atoms.

The structure belongs to space group Pmmm (No. 47); the cell edges are 2.7327, 4.6723 and 5.5239 Å and the angles 90.00°, 90.00° and 90.00°. The distinct sites, in fractional coordinates, are Tc at (0.0000, 0.0000, 0.0000), Ag at (0.5000, 0.5000, 0.2409) and Se at (0.0000, 0.0000, 0.5000).

***

Entry 11:
The following is a PBE calculation of crystalline TcAgSe2 at its relaxed geometry, from Alexandria via LeMat-Bulk.

As for the formation energy without anion corrections: 14.2 kJ/mol of atoms. Its excess energy over the best structure of this formula in the dataset is 335 meV per atom.

The structure belongs to space group Cmc2_1 (No. 36); the cell edges are 7.2940, 7.7633 and 5.5646 Å and the angles 90.00°, 90.00° and 90.00°. The distinct sites, in fractional coordinates, are Tc at (0.0000, 0.0720, 0.0000), Ag at (0.0000, 0.3975, 0.2684) and Se at (0.2359, 0.1269, 0.3231).

***

Entry 12:
The following is a PBE calculation of crystalline TcAgSe2 at its relaxed geometry, from Alexandria via LeMat-Bulk.

As for the formation energy without anion corrections: -13.1 kJ/mol of atoms. Its excess energy over the best structure of this formula in the dataset is 52 meV per atom.

The structure belongs to space group Pnma (No. 62); the cell edges are 8.0343, 3.6284 and 13.3394 Å and the angles 90.00°, 90.00° and 90.00°. The distinct sites, in fractional coordinates, are Tc at (0.0393, 0.2500, 0.0750), Ag at (0.1665, 0.2500, 0.7949), Se at (0.0901, 0.2500, 0.2544) and Se at (0.2197, 0.7500, 0.0175).

***

Entry 13:
The following is a PBE calculation of crystalline TcAgSe2 at its relaxed geometry, from Alexandria via LeMat-Bulk.

As for the formation energy without anion corrections: 42.8 kJ/mol of atoms. Its excess energy over the best structure of this formula in the dataset is 632 meV per atom.

The structure belongs to space group C2/m (No. 12); the cell edges are 7.5608, 7.5394 and 2.7326 Å and the angles 90.00°, 90.18° and 90.00°. The distinct sites, in fractional coordinates, are Tc at (0.0000, 0.0000, 0.0000), Ag at (0.0000, 0.5000, 0.0000) and Se at (0.2500, 0.2500, 0.0000).

***

Entry 14:
The following is a PBE calculation of crystalline TcAgSe2 at its relaxed geometry, from Alexandria via LeMat-Bulk.

As for the formation energy without anion corrections: -16.9 kJ/mol of atoms. Its excess energy over the best structure of this formula in the dataset is 13 meV per atom.

The structure belongs to space group P-1 (No. 2); the cell edges are 3.2990, 7.2362 and 8.0582 Å and the angles 74.46°, 78.59° and 77.03°. The distinct sites, in fractional coordinates, are Tc at (0.1524, 0.0754, 0.1263), Ag at (0.0000, 0.0000, 0.5000), Ag at (0.0000, 0.5000, 0.0000), Se at (0.2483, 0.1962, 0.8037) and Se at (0.4901, 0.2674, 0.2654).

***

Entry 15:
The following is a PBE calculation of crystalline TcAgSe2 at its relaxed geometry, from Alexandria via LeMat-Bulk.

As for the formation energy without anion corrections: -9.5 kJ/mol of atoms. Its excess energy over the best structure of this formula in the dataset is 89 meV per atom.

The structure belongs to space group Cm (No. 8); the cell edges are 12.9836, 3.6855 and 7.4707 Å and the angles 90.00°, 94.89° and 90.00°. The distinct sites, in fractional coordinates, are Tc at (0.0000, 0.0000, 0.0000), Tc at (0.1505, 0.5000, 0.1131), Ag at (0.2630, 0.0000, 0.9179), Ag at (0.3688, 0.0000, 0.4695), Se at (0.0629, 0.5000, 0.8185), Se at (0.0980, 0.0000, 0.3039), Se at (0.3424, 0.5000, 0.2091) and Se at (0.3553, 0.5000, 0.7299).

***

Entry 16:
The following is a PBE calculation of crystalline TcAgSe2 at its relaxed geometry, from Alexandria via LeMat-Bulk.

As for the formation energy without anion corrections: 13.8 kJ/mol of atoms. Its excess energy over the best structure of this formula in the dataset is 331 meV per atom.

The structure belongs to space group P4mm (No. 99); the cell edges are 2.9894, 2.9894 and 8.9770 Å and the angles 90.00°, 90.00° and 90.00°. The distinct sites, in fractional coordinates, are Tc at (0.0000, 0.0000, 0.0000), Ag at (0.5000, 0.5000, 0.2340), Se at (0.0000, 0.0000, 0.4692) and Se at (0.5000, 0.5000, 0.8491).

***

Entry 17:
The following is a PBE calculation of crystalline Tc2AgSe at its relaxed geometry, from Alexandria via LeMat-Bulk.

As for the formation energy without anion corrections: 50.0 kJ/mol of atoms.

The structure belongs to space group Imm2 (No. 44); the cell edges are 2.9364, 4.6779 and 9.6213 Å and the angles 90.00°, 90.00° and 90.00°. The distinct sites, in fractional coordinates, are Tc at (0.0000, 0.0000, 0.0000), Tc at (0.0000, 0.5000, 0.2837), Ag at (0.0000, 0.5000, 0.7865) and Se at (0.0000, 0.0000, 0.5612).

***

Entry 18:
The following is a PBE calculation of crystalline TcAgSe2 at its relaxed geometry, from Alexandria via LeMat-Bulk.

As for the formation energy without anion corrections: 2.6 kJ/mol of atoms. Its excess energy over the best structure of this formula in the dataset is 215 meV per atom.

The structure belongs to space group Pnma (No. 62); the cell edges are 6.1738, 3.1252 and 16.6461 Å and the angles 90.00°, 90.00° and 90.00°. The distinct sites, in fractional coordinates, are Tc at (0.1356, 0.2500, 0.0968), Ag at (0.0052, 0.7500, 0.3506), Se at (0.0641, 0.2500, 0.8134) and Se at (0.2197, 0.7500, 0.9824).

***

Entry 19:
The following is a PBE calculation of crystalline TcAgSe2 at its relaxed geometry, from Alexandria via LeMat-Bulk.

As for the formation energy without anion corrections: -4.5 kJ/mol of atoms. Its excess energy over the best structure of this formula in the dataset is 141 meV per atom.

The structure belongs to space group C2/m (No. 12); the cell edges are 14.3145, 3.1378 and 8.1343 Å and the angles 90.00°, 108.32° and 90.00°. The distinct sites, in fractional coordinates, are Tc at (0.2372, 0.0000, 0.1463), Ag at (0.0673, 0.5000, 0.8991), Se at (0.1317, 0.5000, 0.2532) and Se at (0.1374, 0.0000, 0.6833).

***

Entry 20:
The following is a PBE calculation of crystalline TcAgSe2 at its relaxed geometry, from Alexandria via LeMat-Bulk.

As for the formation energy without anion corrections: 2.9 kJ/mol of atoms. Its excess energy over the best structure of this formula in the dataset is 218 meV per atom.

The structure belongs to space group Pna2_1 (No. 33); the cell edges are 7.4882, 7.4810 and 6.4236 Å and the angles 90.00°, 90.00° and 90.00°. The distinct sites, in fractional coordinates, are Tc at (0.0288, 0.1162, 0.0000), Ag at (0.1463, 0.5044, 0.0083), Se at (0.0536, 0.1739, 0.6347) and Se at (0.1679, 0.6497, 0.6153).

***

Entry 21:
The following is a PBE calculation of crystalline Tc2AgSe at its relaxed geometry, from Alexandria via LeMat-Bulk.

As for the formation energy without anion corrections: 52.5 kJ/mol of atoms.

The structure belongs to space group P2/m (No. 10); the cell edges are 3.0483, 3.9226 and 5.5522 Å and the angles 90.00°, 104.94° and 90.00°. The distinct sites, in fractional coordinates, are Tc at (0.1384, 0.0000, 0.2711), Ag at (0.5000, 0.5000, 0.0000) and Se at (0.5000, 0.5000, 0.5000).

***

Entry 22:
The following is a PBE calculation of crystalline TcAg2Se at its relaxed geometry, from Alexandria via LeMat-Bulk.

As for the formation energy without anion corrections: 50.4 kJ/mol of atoms.

The structure belongs to space group Cmmm (No. 65); the cell edges are 5.3829, 9.6170 and 2.7261 Å and the angles 90.00°, 90.00° and 90.00°. The distinct sites, in fractional coordinates, are Tc at (0.0000, 0.0000, 0.0000), Ag at (0.2500, 0.2500, 0.5000) and Se at (0.0000, 0.5000, 0.0000).

***

Entry 23:
The following is a PBE calculation of crystalline TcAgSe2 at its relaxed geometry, from Alexandria via LeMat-Bulk.

As for the formation energy without anion corrections: 13.5 kJ/mol of atoms. Its excess energy over the best structure of this formula in the dataset is 328 meV per atom.

The structure belongs to space group I4_1/amd (No. 141, origin choice 2); the cell edges are 5.1011, 5.1011 and 12.7897 Å and the angles 90.00°, 90.00° and 90.00°. The distinct sites, in fractional coordinates, are Tc at (0.0000, 0.2500, 0.3750), Ag at (0.0000, 0.2500, 0.8750) and Se at (0.0000, 0.2500, 0.1780).

***

Entry 24:
The following is a PBE calculation of crystalline TcAgSe2 at its relaxed geometry, from Alexandria via LeMat-Bulk.

As for the formation energy without anion corrections: 14.0 kJ/mol of atoms. Its excess energy over the best structure of this formula in the dataset is 332 meV per atom.

The structure belongs to space group R3m (No. 160, hexagonal axes); the cell edges are 4.0611, 4.0611 and 20.3171 Å and the angles 90.00°, 90.00° and 120.00°. The distinct sites, in fractional coordinates, are Tc at (0.0000, 0.0000, 0.0000), Ag at (0.0000, 0.0000, 0.4929), Se at (0.0000, 0.0000, 0.3638) and Se at (0.0000, 0.0000, 0.8835).

***

Entry 25:
The following is a PBE calculation of crystalline Tc2AgSe at its relaxed geometry, from Alexandria via LeMat-Bulk.

As for the formation energy without anion corrections: 62.4 kJ/mol of atoms.

The structure belongs to space group F-43m (No. 216); the cell edges are 6.3696, 6.3696 and 6.3696 Å and the angles 90.00°, 90.00° and 90.00°. The distinct sites, in fractional coordinates, are Tc at (0.0000, 0.0000, 0.0000), Tc at (0.2500, 0.2500, 0.2500), Ag at (0.2500, 0.2500, 0.7500) and Se at (0.0000, 0.0000, 0.5000).

***

Entry 26:
The following is a PBE calculation of crystalline TcAgSe2 at its relaxed geometry, from Alexandria via LeMat-Bulk.

As for the formation energy without anion corrections: 76.1 kJ/mol of atoms. Its excess energy over the best structure of this formula in the dataset is 976 meV per atom.

The structure belongs to space group F-43m (No. 216); the cell edges are 6.7060, 6.7060 and 6.7060 Å and the angles 90.00°, 90.00° and 90.00°. The distinct sites, in fractional coordinates, are Tc at (0.0000, 0.0000, 0.0000), Ag at (0.2500, 0.2500, 0.7500), Se at (0.0000, 0.0000, 0.5000) and Se at (0.2500, 0.2500, 0.2500).